Ba6Tl2RhAu, relaxed, DFT GGA-PBE; ρ = 5.7 Mg/m³; space-group type = No. 14; DFT total energy = -3.04 eV/atom
1.0
-3.941 3.969 5.872
-7.603 -0.240 -4.941
-3.048 -10.484 5.200
Ba Au Tl Rh
12 2 4 2
direct
0.313 0.675 0.057
0.333 0.699 0.440
0.833 0.801 0.940
0.881 0.531 0.240
0.167 0.199 0.060
0.381 0.969 0.740
0.619 0.031 0.260
0.687 0.325 0.943
0.119 0.469 0.760
0.813 0.825 0.557
0.667 0.301 0.560
0.187 0.175 0.443
0.500 0.000 0.000
0.000 0.500 0.500
0.957 0.101 0.751
0.043 0.899 0.249
0.457 0.399 0.251
0.543 0.601 0.749
0.000 0.500 0.000
0.500 0.000 0.500

---

Ba6TlRhAu2, relaxed, DFT GGA-PBE; ρ = 5.6 Mg/m³; space-group type = No. 1; DFT total energy = -3.17 eV/atom
1.0
8.251 -0.001 0.000
4.125 7.152 -0.001
4.124 2.383 7.620
Ba Tl Rh Au
6 1 1 2
direct
0.115 0.386 0.766
0.557 0.274 0.233
0.386 0.733 0.766
0.936 0.557 0.233
0.733 0.115 0.765
0.274 0.936 0.233
0.834 0.833 0.499
0.333 0.333 0.002
0.989 0.989 0.034
0.505 0.505 0.484

---

BaYRh2Au, relaxed, DFT GGA-PBE; ρ = 7.4 Mg/m³; space-group type = No. 123; DFT total energy = -3.89 eV/atom
1.0
4.961 0.000 0.000
0.000 5.736 0.000
0.000 0.000 4.961
Ba Y Au Rh
1 1 1 2
direct
0.000 0.000 0.000
0.000 0.500 0.000
0.500 0.500 0.500
0.500 0.000 0.000
0.000 0.000 0.500

---

Ba8ZnRhAu2, relaxed, DFT GGA-PBE; ρ = 4.7 Mg/m³; space-group type = No. 10; DFT total energy = -2.88 eV/atom
1.0
7.832 0.009 -0.005
0.052 7.622 -0.009
0.006 0.012 9.766
Ba Au Rh Zn
8 2 1 1
direct
0.828 0.219 0.229
0.670 0.723 0.500
0.828 0.219 0.771
0.312 0.260 0.000
0.688 0.740 0.000
0.172 0.781 0.771
0.330 0.277 0.500
0.172 0.781 0.229
0.500 0.500 0.754
0.500 0.500 0.246
0.000 0.000 0.000
0.000 0.000 0.500

---

Ba2RuAu, relaxed, DFT GGA-PBE; ρ = 7.8 Mg/m³; space-group type = No. 122; DFT total energy = -3.77 eV/atom
1.0
8.656 0.000 0.000
0.000 8.656 0.000
4.328 4.328 3.235
Ba Ru Au
4 2 2
direct
0.375 0.430 0.750
0.875 0.820 0.750
0.180 0.625 0.250
0.570 0.125 0.250
0.250 0.750 0.500
0.500 0.500 0.000
0.000 0.000 0.000
0.750 0.250 0.500

---

BaRuAu2, relaxed, DFT GGA-PBE; ρ = 11.5 Mg/m³; space-group type = No. 119; excess energy over the best structure of this formula in the dataset = 415 meV/atom; DFT total energy = -4.07 eV/atom
1.0
5.622 -0.010 0.000
2.150 5.194 0.000
-3.886 -2.592 3.128
Ru Ba Au
1 1 2
direct
0.750 0.250 0.500
0.500 0.500 0.000
0.000 0.000 0.000
0.250 0.750 0.500

---

| no. | magnetization (μB/atom) | energy of formation from the pure elements (eV/atom) |
| --- | --- | --- |
| 1 | 0.089 | -0.35 |
| 2 | 0.000 | -0.39 |
| 3 | 0.000 | 1.38 |
| 4 | 0.000 | -0.33 |
| 5 | 0.000 | 0.33 |
| 6 | 0.403 | 0.36 |